[1]
Crystalline Cs3Pt2Pb4 at its relaxed geometry, computed with GGA-PBE.

## Properties
Space-group type ... C2/m
Offset from the most stable computed form ... 0.0038 eV/atom
Volume ... 38.6 A^3/atom

Lattice parameters (Å, degrees): 8.361 8.361 10.131 112.83 112.83 32.40
Fractional coordinates of all 9 atoms:
1 Cs 0.000 0.000 0.000
2 Cs 0.367 0.367 0.584
3 Cs 0.633 0.633 0.416
4 Pt 0.333 0.333 0.202
5 Pt 0.667 0.667 0.798
6 Pb 0.070 0.070 0.681
7 Pb 0.283 0.283 0.901
8 Pb 0.717 0.717 0.099
9 Pb 0.930 0.930 0.319

[2]
Crystalline CsPtPb2 at its relaxed geometry, computed with GGA-PBE.

## Properties
Space-group type ... R3m
Volume ... 35.6 A^3/atom

Lattice parameters (Å, degrees): 8.149 8.149 8.149 32.93 32.93 32.93
Fractional coordinates of all 4 atoms:
1 Cs 0.000 0.000 0.000
2 Pt 0.169 0.169 0.169
3 Pb 0.546 0.546 0.546
4 Pb 0.788 0.788 0.788

[3]
Crystalline Cs6PtPb at its relaxed geometry, computed with GGA-PBE.

## Properties
Space-group type ... Amm2
Volume ... 77.5 A^3/atom

Lattice parameters (Å, degrees): 4.921 11.241 11.241 85.11 90.00 90.00
Fractional coordinates of all 8 atoms:
1 Cs 0.000 0.000 0.000
2 Cs 0.000 0.553 0.831
3 Cs 0.000 0.831 0.553
4 Cs 0.500 0.258 0.668
5 Cs 0.500 0.279 0.279
6 Cs 0.500 0.668 0.258
7 Pt 0.500 0.561 0.561
8 Pb 0.000 0.487 0.487

[4]
Crystalline Cs6PtPb3 at its relaxed geometry, computed with GGA-PBE.

## Properties
Space-group type ... P2_1/c
Volume ... 47.8 A^3/atom

Lattice parameters (Å, degrees): 10.898 7.588 15.820 90.00 133.01 90.00
Fractional coordinates of all 20 atoms:
1 Cs 0.096 0.117 0.161
2 Cs 0.096 0.383 0.661
3 Cs 0.258 0.566 0.324
4 Cs 0.258 0.934 0.824
5 Cs 0.379 0.729 0.651
6 Cs 0.379 0.771 0.151
7 Cs 0.621 0.229 0.849
8 Cs 0.621 0.271 0.349
9 Cs 0.742 0.066 0.176
10 Cs 0.742 0.434 0.676
11 Cs 0.904 0.617 0.339
12 Cs 0.904 0.883 0.839
13 Pt 0.000 0.000 0.500
14 Pt 0.000 0.500 0.000
15 Pb 0.211 0.166 0.483
16 Pb 0.211 0.334 0.983
17 Pb 0.500 0.000 0.500
18 Pb 0.500 0.500 0.000
19 Pb 0.789 0.666 0.017
20 Pb 0.789 0.834 0.517

no.,total DFT energy (no corrections) (eV per cell),formation enthalpy at 0 K (eV/atom)
1,-31.15,-0.186
2,-15.34,-0.257
3,-15.47,-0.075
4,-46.17,-0.080